# PBE NdSmCd4, relaxed
data_NdSmCd4
_symmetry_space_group_name_H-M 'F -4 3 m'
_symmetry_Int_Tables_number 216
_symmetry_space_group_name_Hall 'F -4 2 3'
_cell_length_a 8.466
_cell_length_b 8.466
_cell_length_c 8.466
_cell_angle_alpha 90.00
_cell_angle_beta 90.00
_cell_angle_gamma 90.00
loop_
_atom_site_label
_atom_site_fract_x
_atom_site_fract_y
_atom_site_fract_z
Nd1 0.000 0.000 0.000
Sm1 0.250 0.250 0.750
Cd1 0.125 0.125 0.375
# DOS at the Fermi energy in states/eV/cell: 13.950
# Volume in Å³ per atom: 25.28
# ρ in g cm⁻³: 8.15
# ΔE to the lowest computed polymorph in eV/f.u.: 0.27

---

# PBE Nd3Sm5Cd, relaxed
data_Nd3Sm5Cd
_symmetry_space_group_name_H-M 'C 1 2/m 1'
_symmetry_Int_Tables_number 12
_cell_length_a 9.958
_cell_length_b 11.679
_cell_length_c 11.428
_cell_angle_alpha 90.00
_cell_angle_beta 90.42
_cell_angle_gamma 90.00
loop_
_symmetry_equiv_pos_as_xyz
'x,y,z'
'-x,-y,-z'
'-x,y,-z'
'x,-y,z'
'x+1/2,y+1/2,z'
'-x+1/2,-y+1/2,-z'
'-x+1/2,y+1/2,-z'
'x+1/2,-y+1/2,z'
loop_
_atom_site_label
_atom_site_fract_x
_atom_site_fract_y
_atom_site_fract_z
Nd1 0.000 0.000 0.000
Nd2 0.000 0.000 0.500
Nd3 0.153 0.000 0.258
Nd4 0.166 0.500 0.993
Sm1 0.000 0.253 0.500
Sm2 0.004 0.500 0.259
Sm3 0.177 0.500 0.502
Sm4 0.231 0.243 0.813
Cd1 0.163 0.000 0.742
# Final energy in eV per atom: -3.93
# DOS at the Fermi energy in states/eV/cell: 49.435
# Volume in Å³ per atom: 36.92
# ρ in g cm⁻³: 6.48

---

# PBE Nd12Sm5Cd2, relaxed
data_Nd12Sm5Cd2
_symmetry_space_group_name_H-M 'C 1 2/m 1'
_symmetry_Int_Tables_number 12
_cell_length_a 15.800
_cell_length_b 9.351
_cell_length_c 8.660
_cell_angle_alpha 90.00
_cell_angle_beta 93.33
_cell_angle_gamma 90.00
loop_
_symmetry_equiv_pos_as_xyz
'x,y,z'
'-x,-y,-z'
'-x,y,-z'
'x,-y,z'
'x+1/2,y+1/2,z'
'-x+1/2,-y+1/2,-z'
'-x+1/2,y+1/2,-z'
'x+1/2,-y+1/2,z'
loop_
_atom_site_label
_atom_site_fract_x
_atom_site_fract_y
_atom_site_fract_z
Nd1 0.057 0.000 0.330
Nd2 0.078 0.500 0.882
Nd3 0.127 0.194 0.677
Nd4 0.146 0.316 0.236
Sm1 0.000 0.500 0.500
Sm2 0.198 0.000 0.022
Sm3 0.232 0.500 0.574
Cd1 0.000 0.169 0.000
# Final energy in eV per atom: -4.32
# DOS at the Fermi energy in states/eV/cell: 54.396
# Volume in Å³ per atom: 33.62
# ρ in g cm⁻³: 7.04

---

# PBE NdSm2Cd, relaxed
data_NdSm2Cd
_symmetry_space_group_name_H-M 'R -3 m'
_symmetry_Int_Tables_number 166
_symmetry_space_group_name_Hall '-R 3 2"'
_cell_length_a 3.6523
_cell_length_b 3.6523
_cell_length_c 33.1699
_cell_angle_alpha 90.00
_cell_angle_beta 90.00
_cell_angle_gamma 120.00
loop_
_atom_site_label
_atom_site_fract_x
_atom_site_fract_y
_atom_site_fract_z
Nd1 0.0000 0.0000 0.0000
Sm1 0.0000 0.0000 0.2437
Cd1 0.0000 0.0000 0.5000
# DOS at the Fermi energy in states/eV/cell: 12.774
# Volume in Å³ per atom: 31.93
# ρ in g cm⁻³: 7.25
# ΔE to the lowest computed polymorph in eV/f.u.: 0.31

---

# PBE Nd4SmCd, relaxed
data_Nd4SmCd
_symmetry_space_group_name_H-M 'C 1 2/c 1'
_symmetry_Int_Tables_number 15
_cell_length_a 8.995
_cell_length_b 14.497
_cell_length_c 6.467
_cell_angle_alpha 90.00
_cell_angle_beta 109.29
_cell_angle_gamma 90.00
loop_
_symmetry_equiv_pos_as_xyz
'x,y,z'
'-x,-y,-z'
'-x,y,-z+1/2'
'x,-y,z+1/2'
'x+1/2,y+1/2,z'
'-x+1/2,-y+1/2,-z'
'-x+1/2,y+1/2,-z+1/2'
'x+1/2,-y+1/2,z+1/2'
loop_
_atom_site_label
_atom_site_fract_x
_atom_site_fract_y
_atom_site_fract_z
Nd1 0.097 0.190 0.046
Nd2 0.215 0.381 0.376
Sm1 0.000 0.413 0.750
Cd1 0.000 0.001 0.750
# DOS at the Fermi energy in states/eV/cell: 32.714
# Volume in Å³ per atom: 33.16
# ρ in g cm⁻³: 7.01
# ΔE to the lowest computed polymorph in eV/f.u.: 0.55

---

# PBE NdSm2Cd3, relaxed
data_NdSm2Cd3
_symmetry_space_group_name_H-M 'P 4/m m m'
_symmetry_Int_Tables_number 123
_symmetry_space_group_name_Hall '-P 4 2'
_cell_length_a 3.825
_cell_length_b 3.825
_cell_length_c 11.518
_cell_angle_alpha 90.00
_cell_angle_beta 90.00
_cell_angle_gamma 90.00
loop_
_atom_site_label
_atom_site_fract_x
_atom_site_fract_y
_atom_site_fract_z
Nd1 0.000 0.000 0.000
Sm1 0.000 0.000 0.335
Cd1 0.500 0.500 0.171
Cd2 0.500 0.500 0.500
# Final energy in eV per atom: -3.14
# DOS at the Fermi energy in states/eV/cell: 7.220
# Volume in Å³ per atom: 28.09
# ρ in g cm⁻³: 7.71

---

# PBE NdSmCd3, relaxed
data_NdSmCd3
_symmetry_space_group_name_H-M 'C m c m'
_symmetry_Int_Tables_number 63
_symmetry_space_group_name_Hall '-C 2c 2'
_cell_length_a 3.512
_cell_length_b 30.164
_cell_length_c 5.046
_cell_angle_alpha 90.00
_cell_angle_beta 90.00
_cell_angle_gamma 90.00
loop_
_atom_site_label
_atom_site_fract_x
_atom_site_fract_y
_atom_site_fract_z
Nd1 0.000 0.074 0.250
Sm1 0.000 0.214 0.750
Cd1 0.000 0.326 0.750
Cd2 0.000 0.379 0.250
Cd3 0.000 0.476 0.250
# DOS at the Fermi energy in states/eV/cell: 17.938
# Volume in Å³ per atom: 26.73
# ρ in g cm⁻³: 7.85
# ΔE to the lowest computed polymorph in eV/f.u.: 0.00

---

# PBE Nd7SmCd3, relaxed
data_Nd7SmCd3
_symmetry_space_group_name_H-M 'I m m m'
_symmetry_Int_Tables_number 71
_symmetry_space_group_name_Hall '-I 2 2'
_cell_length_a 5.922
_cell_length_b 10.208
_cell_length_c 11.874
_cell_angle_alpha 90.00
_cell_angle_beta 90.00
_cell_angle_gamma 90.00
loop_
_atom_site_label
_atom_site_fract_x
_atom_site_fract_y
_atom_site_fract_z
Nd1 0.000 0.000 0.000
Nd2 0.000 0.175 0.500
Nd3 0.000 0.321 0.214
Sm1 0.000 0.500 0.500
Cd1 0.000 0.000 0.269
Cd2 0.000 0.500 0.000
# Final energy in eV per atom: -3.68
# DOS at the Fermi energy in states/eV/cell: 30.101
# Volume in Å³ per atom: 32.62
# ρ in g cm⁻³: 6.93

---

# PBE Nd3Sm2Cd, relaxed
data_Nd3Sm2Cd
_symmetry_space_group_name_H-M 'P 4/m m m'
_symmetry_Int_Tables_number 123
_symmetry_space_group_name_Hall '-P 4 2'
_cell_length_a 3.682
_cell_length_b 3.682
_cell_length_c 14.442
_cell_angle_alpha 90.00
_cell_angle_beta 90.00
_cell_angle_gamma 90.00
loop_
_atom_site_label
_atom_site_fract_x
_atom_site_fract_y
_atom_site_fract_z
Nd1 0.000 0.000 0.000
Nd2 0.000 0.000 0.354
Sm1 0.500 0.500 0.177
Cd1 0.500 0.500 0.500
# DOS at the Fermi energy in states/eV/cell: 7.641
# Volume in Å³ per atom: 32.64
# ρ in g cm⁻³: 7.17
# ΔE to the lowest computed polymorph in eV/f.u.: 0.00

---

# PBE NdSm2Cd, relaxed
data_NdSm2Cd
_symmetry_space_group_name_H-M 'F m -3 m'
_symmetry_Int_Tables_number 225
_symmetry_space_group_name_Hall '-F 4 2 3'
_cell_length_a 7.867
_cell_length_b 7.867
_cell_length_c 7.867
_cell_angle_alpha 90.00
_cell_angle_beta 90.00
_cell_angle_gamma 90.00
loop_
_atom_site_label
_atom_site_fract_x
_atom_site_fract_y
_atom_site_fract_z
Nd1 0.000 0.000 0.000
Sm1 0.250 0.250 0.250
Cd1 0.000 0.000 0.500
# DOS at the Fermi energy in states/eV/cell: 22.868
# Volume in Å³ per atom: 30.43
# ρ in g cm⁻³: 7.60
# ΔE to the lowest computed polymorph in eV/f.u.: 0.55

---

# PBE NdSm8Cd6, relaxed
data_NdSm8Cd6
_symmetry_space_group_name_H-M 'R -3'
_symmetry_Int_Tables_number 148
_symmetry_space_group_name_Hall '-R 3'
_cell_length_a 9.1543
_cell_length_b 9.1543
_cell_length_c 19.4455
_cell_angle_alpha 90.00
_cell_angle_beta 90.00
_cell_angle_gamma 120.00
loop_
_atom_site_label
_atom_site_fract_x
_atom_site_fract_y
_atom_site_fract_z
Nd1 0.0000 0.0000 0.0000
Sm1 0.0000 0.0000 0.3329
Sm2 0.0008 0.3325 0.1174
Cd1 0.9999 0.3356 0.9496
# Final energy in eV per atom: -3.28
# DOS at the Fermi energy in states/eV/cell: 59.346
# Volume in Å³ per atom: 31.36
# ρ in g cm⁻³: 7.14

---

# PBE Nd2SmCd, relaxed
data_Nd2SmCd
_symmetry_space_group_name_H-M 'P 4/m m m'
_symmetry_Int_Tables_number 123
_symmetry_space_group_name_Hall '-P 4 2'
_cell_length_a 5.724
_cell_length_b 5.724
_cell_length_c 3.789
_cell_angle_alpha 90.00
_cell_angle_beta 90.00
_cell_angle_gamma 90.00
loop_
_atom_site_label
_atom_site_fract_x
_atom_site_fract_y
_atom_site_fract_z
Nd1 0.000 0.500 0.000
Sm1 0.000 0.000 0.500
Cd1 0.500 0.500 0.500
# DOS at the Fermi energy in states/eV/cell: 5.647
# Volume in Å³ per atom: 31.04
# ρ in g cm⁻³: 7.37
# ΔE to the lowest computed polymorph in eV/f.u.: 0.26